{
  "formula": "Ba2VPt3O12",
  "functional": "GGA+U",
  "state": "relaxed",
  "lattice": [[7.1606, 0.0600, 0.0425], [3.5884, 6.1969, 0.0425], [3.5884, 2.0888, 5.8344]],
  "species": ["Ba", "O", "O", "O", "O", "V", "O", "O", "O", "O", "O", "Ba", "O", "Pt", "Pt", "O", "O", "Pt"],
  "fractional_positions": [[0.6545, 0.6545, 0.6545], [0.6614, 0.6614, 0.0627], [0.0627, 0.6614, 0.6614], [0.9373, 0.3386, 0.3386], [0.3386, 0.9373, 0.3386], [0.0000, 0.0000, 0.0000], [0.9302, 0.3126, 0.9302], [0.9302, 0.9302, 0.3126], [0.3126, 0.9302, 0.9302], [0.6874, 0.0698, 0.0698], [0.0698, 0.0698, 0.6874], [0.3455, 0.3455, 0.3455], [0.0698, 0.6874, 0.0698], [0.0000, 0.5000, 0.0000], [0.0000, 0.0000, 0.5000], [0.3386, 0.3386, 0.9373], [0.6614, 0.0627, 0.6614], [0.5000, 0.0000, 0.0000]],
  "magmom_total_mub_per_cell": 0.00,
  "total_energy_ry_per_atom": -0.4549
}